# CaSeCl2 | Alexandria via LeMat-Bulk | PBE-GGA | relaxed
data_CaSeCl2
_chemical_formula_sum 'Ca1 Se1 Cl2'
_space_group_name_H-M_alt 'P 1'
_space_group_IT_number 1
_cell_length_a 6.861
_cell_length_b 6.861
_cell_length_c 6.861
_cell_angle_alpha 145.38
_cell_angle_beta 136.15
_cell_angle_gamma 57.04
loop_
_space_group_symop_operation_xyz
'x,y,z'
loop_
_atom_site_label
_atom_site_type_symbol
_atom_site_fract_x
_atom_site_fract_y
_atom_site_fract_z
Ca1 Ca 0.250 0.750 0.500
Se1 Se 0.750 0.250 0.500
Cl1 Cl 0.098 0.098 0.000
Cl2 Cl 0.402 0.402 0.000
# - relative energy among the computed polymorphs (meV per atom) = 283
# - magnetic moment (Bohr magnetons per cell) = 2.02
# - DOS(E_F) (states/eV per cell) = 0.8

# CaSeCl | Alexandria via LeMat-Bulk | PBE-GGA | relaxed
data_CaSeCl
_chemical_formula_sum 'Ca1 Se1 Cl1'
_space_group_name_H-M_alt 'P 1'
_space_group_IT_number 1
_cell_length_a 3.874
_cell_length_b 3.874
_cell_length_c 7.428
_cell_angle_alpha 90.00
_cell_angle_beta 90.00
_cell_angle_gamma 120.00
loop_
_space_group_symop_operation_xyz
'x,y,z'
loop_
_atom_site_label
_atom_site_type_symbol
_atom_site_fract_x
_atom_site_fract_y
_atom_site_fract_z
Ca1 Ca 0.000 0.000 0.023
Se1 Se 0.333 0.667 0.752
Cl1 Cl 0.667 0.333 0.226
# - relative energy among the computed polymorphs (meV per atom) = 324
# - magnetic moment (Bohr magnetons per cell) = 0.15
# - DOS(E_F) (states/eV per cell) = 1.9

# CaSeCl2 | Alexandria via LeMat-Bulk | PBE-GGA | relaxed
data_CaSeCl2
_chemical_formula_sum 'Ca1 Se1 Cl2'
_space_group_name_H-M_alt 'P 1'
_space_group_IT_number 1
_cell_length_a 5.139
_cell_length_b 5.139
_cell_length_c 5.139
_cell_angle_alpha 60.00
_cell_angle_beta 60.00
_cell_angle_gamma 60.00
loop_
_space_group_symop_operation_xyz
'x,y,z'
loop_
_atom_site_label
_atom_site_type_symbol
_atom_site_fract_x
_atom_site_fract_y
_atom_site_fract_z
Ca1 Ca 0.000 0.000 0.000
Se1 Se 0.500 0.500 0.500
Cl1 Cl 0.250 0.250 0.250
Cl2 Cl 0.750 0.750 0.750
# - relative energy among the computed polymorphs (meV per atom) = 456
# - magnetic moment (Bohr magnetons per cell) = 2.00
# - DOS(E_F) (states/eV per cell) = 2.8

# CaSeCl2 | Alexandria via LeMat-Bulk | PBE-GGA | relaxed
data_CaSeCl2
_chemical_formula_sum 'Ca1 Se1 Cl2'
_space_group_name_H-M_alt 'P 1'
_space_group_IT_number 1
_cell_length_a 6.298
_cell_length_b 6.298
_cell_length_c 6.298
_cell_angle_alpha 142.54
_cell_angle_beta 142.54
_cell_angle_gamma 54.02
loop_
_space_group_symop_operation_xyz
'x,y,z'
loop_
_atom_site_label
_atom_site_type_symbol
_atom_site_fract_x
_atom_site_fract_y
_atom_site_fract_z
Ca1 Ca 0.750 0.250 0.500
Se1 Se 0.500 0.500 0.000
Cl1 Cl 0.000 0.000 0.000
Cl2 Cl 0.250 0.750 0.500
# - relative energy among the computed polymorphs (meV per atom) = 280
# - magnetic moment (Bohr magnetons per cell) = 0.00
# - DOS(E_F) (states/eV per cell) = 0.5

In order of appearance, calculated density = 2.5; 2.7; 3.3; 3.4 g/cm³.
In order of appearance, raw formation energy = -1126; -1439; -953; -1129 meV per atom.